No. 1
Density functional theory data (PBE) for a relaxed Nb12Re3Pt5 crystal.

Cell: 13.1861 13.1861 13.1861 Å, 109.47 109.47 109.47°
Sites, in units of the cell vectors:
Nb  0.0652  0.2313  0.1452
Nb  0.0652  0.3339  0.9200
Nb  0.0800  0.6452  0.4139
Nb  0.0800  0.9348  0.6661
Nb  0.0861  0.7313  0.6661
Nb  0.0861  0.8548  0.4200
Nb  0.1452  0.0652  0.2313
Nb  0.1452  0.5800  0.9139
Nb  0.1661  0.2313  0.5861
Nb  0.1661  0.4348  0.5800
Nb  0.2313  0.1452  0.0652
Nb  0.2313  0.5861  0.1661
Nb  0.2687  0.3339  0.9139
Nb  0.2687  0.4348  0.3548
Nb  0.3339  0.9139  0.2687
Nb  0.3339  0.9200  0.0652
Nb  0.3548  0.2687  0.4348
Nb  0.3548  0.5861  0.9200
Nb  0.4139  0.0800  0.6452
Nb  0.4139  0.8339  0.7687
Nb  0.4200  0.0861  0.8548
Nb  0.4200  0.8339  0.5652
Nb  0.4348  0.3548  0.2687
Nb  0.4348  0.5800  0.1661
Nb  0.5652  0.4200  0.8339
Nb  0.5652  0.6452  0.7313
Nb  0.5800  0.1661  0.4348
Nb  0.5800  0.9139  0.1452
Nb  0.5861  0.1661  0.2313
Nb  0.5861  0.9200  0.3548
Nb  0.6452  0.4139  0.0800
Nb  0.6452  0.7313  0.5652
Nb  0.6661  0.0800  0.9348
Nb  0.6661  0.0861  0.7313
Nb  0.7313  0.5652  0.6452
Nb  0.7313  0.6661  0.0861
Nb  0.7687  0.4139  0.8339
Nb  0.7687  0.8548  0.9348
Nb  0.8339  0.5652  0.4200
Nb  0.8339  0.7687  0.4139
Nb  0.8548  0.4200  0.0861
Nb  0.8548  0.9348  0.7687
Nb  0.9139  0.1452  0.5800
Nb  0.9139  0.2687  0.3339
Nb  0.9200  0.0652  0.3339
Nb  0.9200  0.3548  0.5861
Nb  0.9348  0.6661  0.0800
Nb  0.9348  0.7687  0.8548
Re  0.1250  0.2500  0.3750
Re  0.1250  0.3750  0.7500
Re  0.2500  0.3750  0.1250
Re  0.2500  0.8750  0.6250
Re  0.3750  0.1250  0.2500
Re  0.3750  0.7500  0.1250
Re  0.6250  0.2500  0.8750
Re  0.6250  0.8750  0.7500
Re  0.7500  0.1250  0.3750
Re  0.7500  0.6250  0.8750
Re  0.8750  0.6250  0.2500
Re  0.8750  0.7500  0.6250
Pt  0.0000  0.0000  0.0000
Pt  0.0000  0.0000  0.5000
Pt  0.0000  0.5000  0.0000
Pt  0.0000  0.5000  0.5000
Pt  0.1250  0.7500  0.8750
Pt  0.1250  0.8750  0.2500
Pt  0.2500  0.1250  0.8750
Pt  0.2500  0.6250  0.3750
Pt  0.3750  0.2500  0.6250
Pt  0.3750  0.6250  0.7500
Pt  0.5000  0.0000  0.0000
Pt  0.5000  0.0000  0.5000
Pt  0.5000  0.5000  0.0000
Pt  0.5000  0.5000  0.5000
Pt  0.6250  0.3750  0.2500
Pt  0.6250  0.7500  0.3750
Pt  0.7500  0.3750  0.6250
Pt  0.7500  0.8750  0.1250
Pt  0.8750  0.1250  0.7500
Pt  0.8750  0.2500  0.1250

**E**: -9.028 eV per atom
**Total magnetization**: 0.0000 μB/atom
**E_form**: 0.391 eV/atom
**Space group**: Ia-3d (230)

No. 2
Density functional theory data (PBE) for a relaxed MnPt8Rh2 crystal.

Cell: 7.3467 7.3467 6.2338 Å, 104.96 104.96 31.08°
Sites, in units of the cell vectors:
Mn  0.0000  0.0000  0.0000
Pt  0.0922  0.0922  0.4457
Pt  0.1811  0.1811  0.9134
Pt  0.3647  0.3647  0.8186
Pt  0.4544  0.4544  0.2708
Pt  0.5456  0.5456  0.7292
Pt  0.6353  0.6353  0.1814
Pt  0.8189  0.8189  0.0866
Pt  0.9078  0.9078  0.5543
Rh  0.2759  0.2759  0.3688
Rh  0.7241  0.7241  0.6312

**E**: -6.700 eV per atom
**Total magnetization**: 0.3749 μB/atom
**E_form**: -0.137 eV/atom
**Space group**: C2/m (12)

No. 3
Density functional theory data (PBE) for a relaxed Li4Y3 crystal.

Cell: 6.5150 6.5150 5.4876 Å, 90.00 90.00 120.00°
Sites, in units of the cell vectors:
Li  0.0000  0.0000  0.2443
Li  0.0000  0.0000  0.7557
Li  0.3333  0.6667  0.0000
Li  0.6667  0.3333  0.0000
Y  0.0000  0.5000  0.5000
Y  0.5000  0.0000  0.5000
Y  0.5000  0.5000  0.5000

**E**: -3.549 eV per atom
**Total magnetization**: 0.0000 μB/atom
**E_form**: 0.315 eV/atom
**Space group**: P6/mmm (191)

No. 4
Density functional theory data (PBE) for a relaxed Cs2AsBr4 crystal.

Cell: 9.7093 9.7093 9.7093 Å, 146.17 146.17 48.59°
Sites, in units of the cell vectors:
Cs  0.1379  0.1379  0.0000
Cs  0.8621  0.8621  0.0000
As  0.5000  0.5000  0.0000
Br  0.0000  0.5000  0.5000
Br  0.3465  0.3465  0.0000
Br  0.5000  0.0000  0.5000
Br  0.6535  0.6535  0.0000

**E**: -2.986 eV per atom
**Total magnetization**: 0.0117 μB/atom
**Space group**: I4/mmm (139)
**Energy relative to the elements, uncorrected**: -1122 meV/atom

No. 5
Density functional theory data (PBE) for a relaxed KSrTl2Cu crystal.

Cell: 6.4140 6.4140 5.6330 Å, 90.00 90.00 90.00°
Sites, in units of the cell vectors:
K  0.0000  0.0000  0.0000
Sr  0.5000  0.5000  0.5000
Tl  0.0000  0.5000  0.5000
Tl  0.5000  0.0000  0.5000
Cu  0.5000  0.5000  0.0000

**E**: -1.874 eV per atom
**Total magnetization**: 0.0000 μB/atom
**E_form**: 0.447 eV/atom
**Space group**: P4/mmm (123)

No. 6
Density functional theory data (PBE) for a relaxed Si2MoAs crystal.

Cell: 6.7526 6.7526 6.7526 Å, 129.42 129.42 74.34°
Sites, in units of the cell vectors:
Si  0.1235  0.6250  0.9985
Si  0.3750  0.3735  0.4985
Si  0.6265  0.1250  0.0015
Si  0.8750  0.8765  0.5015
Mo  0.0000  0.0000  0.0000
Mo  0.7500  0.2500  0.5000
As  0.2500  0.7500  0.5000
As  0.5000  0.5000  0.0000

**E**: -5.970 eV per atom
**Total magnetization**: 0.2669 μB/atom
**Space group**: I-42d (122)
**Energy relative to the elements, uncorrected**: 611 meV/atom

No. 7
Density functional theory data (PBE) for a relaxed Er2ZnPt crystal.

Cell: 5.8031 4.5137 7.3432 Å, 90.00 113.16 90.00°
Sites, in units of the cell vectors:
Er  0.1791  0.2500  0.4145
Er  0.2818  0.7500  0.0740
Er  0.7182  0.2500  0.9260
Er  0.8209  0.7500  0.5855
Zn  0.3786  0.7500  0.7021
Zn  0.6214  0.2500  0.2979
Pt  0.1431  0.2500  0.7927
Pt  0.8569  0.7500  0.2073

**E**: -4.966 eV per atom
**Total magnetization**: 0.0000 μB/atom
**E_form**: -0.856 eV/atom
**Space group**: P2_1/m (11)

No. 8
Density functional theory data (PBE) for a relaxed Ho4CuAg2 crystal.

Cell: 8.7049 8.7049 8.7049 Å, 33.42 33.42 33.42°
Sites, in units of the cell vectors:
Ho  0.1238  0.1238  0.1238
Ho  0.3738  0.3738  0.3738
Ho  0.6262  0.6262  0.6262
Ho  0.8762  0.8762  0.8762
Cu  0.0000  0.0000  0.0000
Ag  0.2489  0.2489  0.2489
Ag  0.7511  0.7511  0.7511

**E**: -4.163 eV per atom
**Total magnetization**: 0.0000 μB/atom
**E_form**: -0.147 eV/atom
**Space group**: R-3m (166)

> Which of these has the highest E?

KSrTl2Cu